Material: LiTb2Al4Au3
Method: DFT, PBE-GGA
State: relaxed

The calculated volume comes out at 196.6 Å³ per cell. The calculation puts the theoretical density at 8.6 g/cm³. The calculation puts the density of states at the Fermi level at 5.31 states/eV per cell.

Cell: 4.2266 4.2266 11.0061 Å, 90.00 90.00 90.00°
Fractional positions:
Li1 0.5000 0.5000 0.5000
Tb1 0.5000 0.0000 0.2488
Tb2 0.0000 0.5000 0.7512
Al1 0.5000 0.5000 0.0000
Al2 0.0000 0.0000 0.0000
Al3 0.5000 0.0000 0.6349
Al4 0.0000 0.5000 0.3651
Au1 0.0000 0.0000 0.5000
Au2 0.5000 0.0000 0.8623
Au3 0.0000 0.5000 0.1377

=====

Material: LiTbAlAu2
Method: DFT, PBE-GGA
State: relaxed

The calculated volume comes out at 98.3 Å³ per cell. The calculation puts the theoretical density at 9.9 g/cm³. The calculation puts the density of states at the Fermi level at 2.83 states/eV per cell.

Cell: 3.9481 3.9481 6.8959 Å, 106.63 106.63 90.00°
Fractional positions:
Li1 0.2500 0.7500 0.5000
Tb1 0.0000 0.0000 0.0000
Al1 0.7500 0.2500 0.5000
Au1 0.6127 0.6127 0.2254
Au2 0.3873 0.3873 0.7746

=====

Material: LiTb2AlAu6
Method: DFT, PBE-GGA
State: relaxed

The calculated volume comes out at 207.5 Å³ per cell. The calculation puts the theoretical density at 12.3 g/cm³. The calculation puts the density of states at the Fermi level at 5.05 states/eV per cell.

Cell: 7.5436 5.7486 7.7471 Å, 75.36 40.03 83.18°
Fractional positions:
Li1 0.5000 0.5000 0.0000
Tb1 0.1359 0.7379 0.5567
Tb2 0.8641 0.2621 0.4433
Al1 0.0000 0.0000 0.0000
Au1 0.3117 0.9310 0.0267
Au2 0.7255 0.5793 0.1809
Au3 0.2754 0.2385 0.4787
Au4 0.6883 0.0690 0.9733
Au5 0.2745 0.4207 0.8191
Au6 0.7246 0.7615 0.5213

=====

Material: LiThAl2Au2
Method: DFT, PBE-GGA
State: relaxed

The calculated volume comes out at 118.4 Å³ per cell. The calculation puts the theoretical density at 9.6 g/cm³. The calculation puts the density of states at the Fermi level at 4.01 states/eV per cell.

Cell: 4.4498 4.4498 6.9045 Å, 90.00 90.00 120.00°
Fractional positions:
Li1 0.0000 0.0000 0.5000
Th1 0.0000 0.0000 0.0000
Al1 0.6667 0.3333 0.3294
Al2 0.3333 0.6667 0.6706
Au1 0.6667 0.3333 0.7245
Au2 0.3333 0.6667 0.2755

=====

Material: LiThAlAu2
Method: DFT, PBE-GGA
State: relaxed

The calculated volume comes out at 102.9 Å³ per cell. The calculation puts the theoretical density at 10.7 g/cm³. The calculation puts the density of states at the Fermi level at 3.03 states/eV per cell.

Cell: 4.0885 4.0885 6.8002 Å, 107.49 107.49 90.00°
Fractional positions:
Li1 0.7500 0.2500 0.5000
Th1 0.0000 0.0000 0.0000
Al1 0.2500 0.7500 0.5000
Au1 0.6152 0.6152 0.2305
Au2 0.3848 0.3848 0.7695

=====

Material: LiTh2Al4Au3
Method: DFT, PBE-GGA
State: relaxed

The calculated volume comes out at 202.7 Å³ per cell. The calculation puts the theoretical density at 9.6 g/cm³. The calculation puts the density of states at the Fermi level at 6.86 states/eV per cell.

Cell: 4.3529 4.3529 10.6959 Å, 90.00 90.00 90.00°
Fractional positions:
Li1 0.5000 0.5000 0.5000
Th1 0.5000 0.0000 0.2521
Th2 0.0000 0.5000 0.7479
Al1 0.5000 0.5000 0.0000
Al2 0.0000 0.0000 0.0000
Al3 0.5000 0.0000 0.6316
Al4 0.0000 0.5000 0.3684
Au1 0.0000 0.0000 0.5000
Au2 0.5000 0.0000 0.8681
Au3 0.0000 0.5000 0.1319

=====

Material: Li2ThAl2Au2
Method: DFT, PBE-GGA
State: relaxed

The calculated volume comes out at 133.5 Å³ per cell. The calculation puts the theoretical density at 8.6 g/cm³. The calculation puts the density of states at the Fermi level at 4.67 states/eV per cell.

Cell: 4.4655 4.4810 8.1280 Å, 106.19 90.00 119.89°
Fractional positions:
Li1 0.1446 0.2892 0.4328
Li2 0.8554 0.7108 0.5672
Th1 0.0000 0.0000 0.0000
Al1 0.5652 0.1305 0.6969
Al2 0.4348 0.8695 0.3031
Au1 0.7438 0.4877 0.2326
Au2 0.2562 0.5123 0.7674

=====

Material: Li2AlTlAu
Method: DFT, PBE-GGA
State: relaxed

The calculated volume comes out at 130.0 Å³ per cell. The calculation puts the theoretical density at 5.6 g/cm³. The calculation puts the density of states at the Fermi level at 2.63 states/eV per cell.

Cell: 5.0220 5.1542 5.0220 Å, 90.00 90.00 90.00°
Fractional positions:
Tl1 0.0000 0.5000 0.0000
Au1 0.5000 0.5000 0.5000
Al1 0.0000 0.0000 0.0000
Li1 0.0000 0.0000 0.5000
Li2 0.5000 0.0000 0.0000

=====

Material: LiTmAlAu
Method: DFT, PBE-GGA
State: relaxed

The calculated volume comes out at 72.7 Å³ per cell. The calculation puts the theoretical density at 9.1 g/cm³. The calculation puts the density of states at the Fermi level at 0.41 states/eV per cell.

Cell: 4.6857 4.6857 4.6857 Å, 60.00 60.00 60.00°
Fractional positions:
Tm1 0.2500 0.2500 0.2500
Au1 0.0000 0.0000 0.0000
Al1 0.7500 0.7500 0.7500
Li1 0.5000 0.5000 0.5000

=====

Material: LiTmAl2Au4
Method: DFT, PBE-GGA
State: relaxed

The calculated volume comes out at 142.7 Å³ per cell. The calculation puts the theoretical density at 11.8 g/cm³. The calculation puts the density of states at the Fermi level at 3.27 states/eV per cell.

Cell: 4.4670 4.4670 8.6496 Å, 75.04 75.04 60.00°
Fractional positions:
Li1 0.5000 0.5000 0.5000
Tm1 0.0000 0.0000 0.0000
Al1 0.7583 0.7583 0.7251
Al2 0.2417 0.2417 0.2749
Au1 0.3935 0.3935 0.8194
Au2 0.8685 0.8685 0.3946
Au3 0.1315 0.1315 0.6054
Au4 0.6065 0.6065 0.1806

=====

Material: LiTm2AlAu4
Method: DFT, PBE-GGA
State: relaxed

The calculated volume comes out at 156.1 Å³ per cell. The calculation puts the theoretical density at 12.3 g/cm³. The calculation puts the density of states at the Fermi level at 2.42 states/eV per cell.

Cell: 4.7837 4.7837 8.3453 Å, 73.35 73.35 60.00°
Fractional positions:
Li1 0.0000 0.0000 0.0000
Tm1 0.7502 0.7502 0.7493
Tm2 0.2498 0.2498 0.2507
Al1 0.5000 0.5000 0.5000
Au1 0.3748 0.3748 0.8756
Au2 0.8740 0.8740 0.3780
Au3 0.1260 0.1260 0.6220
Au4 0.6252 0.6252 0.1244

=====

Material: LiTmAl2Au2
Method: DFT, PBE-GGA
State: relaxed

The calculated volume comes out at 110.5 Å³ per cell. The calculation puts the theoretical density at 9.4 g/cm³. The calculation puts the density of states at the Fermi level at 3.06 states/eV per cell.

Cell: 4.4686 4.4686 6.3892 Å, 90.00 90.00 120.00°
Fractional positions:
Li1 0.0000 0.0000 0.0000
Tm1 0.0000 0.0000 0.5000
Al1 0.3333 0.6667 0.8088
Al2 0.6667 0.3333 0.1912
Au1 0.3333 0.6667 0.2353
Au2 0.6667 0.3333 0.7647

=====

| no. | formation enthalpy at 0 K (eV per atom) | total DFT energy (no corrections) (eV/f.u.) |
| --- | --- | --- |
| 1 | -0.634 | -42.3 |
| 2 | -0.662 | -20.2 |
| 3 | -0.552 | -40.1 |
| 4 | -0.613 | -27.1 |
| 5 | -0.577 | -22.5 |
| 6 | -0.601 | -47.6 |
| 7 | -0.546 | -29.1 |
| 8 | 0.389 | -11.3 |
| 9 | -0.615 | -15.9 |
| 10 | -0.634 | -32.1 |
| 11 | -0.737 | -33.6 |
| 12 | -0.667 | -24.4 |